<a>
# ZnFe2Bi (GGA-PBE, relaxed)
data_ZnFe2Bi
_cell_length_a 6.472
_cell_length_b 6.472
_cell_length_c 6.472
_cell_angle_alpha 90.00
_cell_angle_beta 90.00
_cell_angle_gamma 90.00
_space_group_name_H-M_alt 'P m -3 m'
_space_group_IT_number 221
_space_group_name_Hall '-P 4 2 3'
loop_
_atom_site_label
_atom_site_type_symbol
_atom_site_fract_x
_atom_site_fract_y
_atom_site_fract_z
Zn1 Zn 0.000 0.000 0.000
Zn2 Zn 0.000 0.000 0.500
Fe1 Fe 0.209 0.209 0.209
Bi1 Bi 0.000 0.500 0.500
Bi2 Bi 0.500 0.500 0.500
# density	9.46	g cm⁻³
# size of the total moment	5.09	μB per formula unit


<b>
# ZnFe2Bi (GGA-PBE, relaxed)
data_ZnFe2Bi
_cell_length_a 6.355
_cell_length_b 6.355
_cell_length_c 6.355
_cell_angle_alpha 90.00
_cell_angle_beta 90.00
_cell_angle_gamma 90.00
_space_group_name_H-M_alt 'F -4 3 m'
_space_group_IT_number 216
_space_group_name_Hall 'F -4 2 3'
loop_
_atom_site_label
_atom_site_type_symbol
_atom_site_fract_x
_atom_site_fract_y
_atom_site_fract_z
Zn1 Zn 0.000 0.000 0.000
Fe1 Fe 0.000 0.000 0.500
Fe2 Fe 0.250 0.250 0.750
Bi1 Bi 0.250 0.250 0.250
# density	9.99	g cm⁻³
# size of the total moment	4.39	μB per formula unit


Among the structures above, stability is greatest for <a>.